# Cs3SmSc2Se6, optimized geometry, DFT PBE
data_Cs3SmSc2Se6
_space_group_name_H-M_alt 'C 1 2/m 1'
_space_group_IT_number 12
_space_group_name_Hall '-C 2y'
_cell_length_a 7.220
_cell_length_b 12.504
_cell_length_c 8.665
_cell_angle_alpha 90.00
_cell_angle_beta 106.16
_cell_angle_gamma 90.00
loop_
_atom_site_label
_atom_site_fract_x
_atom_site_fract_y
_atom_site_fract_z
Cs1 0.000 0.000 0.000
Cs2 0.000 0.337 0.000
Sm1 0.000 0.500 0.500
Sc1 0.000 0.167 0.500
Se1 0.210 0.000 0.680
Se2 0.235 0.325 0.681
# Formation energy (no corrections) ... -1.613 eV per atom
# Total moment ... 0.000 μB per atom
# DFT total energy ... -5.02 eV/atom

***

# Ce4SnTe2P, optimized geometry, DFT PBE
data_Ce4SnTe2P
_space_group_name_H-M_alt 'P 1 2/m 1'
_space_group_IT_number 10
_space_group_name_Hall '-P 2y'
_cell_length_a 7.630
_cell_length_b 4.373
_cell_length_c 7.676
_cell_angle_alpha 90.00
_cell_angle_beta 109.12
_cell_angle_gamma 90.00
loop_
_atom_site_label
_atom_site_fract_x
_atom_site_fract_y
_atom_site_fract_z
Ce1 0.227 0.000 0.224
Ce2 0.240 0.500 0.765
Sn1 0.500 0.000 0.000
Te1 0.000 0.000 0.500
Te2 0.500 0.500 0.500
P1 0.000 0.500 0.000
# Formation energy (no corrections) ... -1.185 eV per atom
# Total moment ... 0.465 μB per atom
# DFT total energy ... -6.11 eV/atom

***

# PrEr2Mg2, optimized geometry, DFT PBE
data_PrEr2Mg2
_space_group_name_H-M_alt 'I 4/m m m'
_space_group_IT_number 139
_space_group_name_Hall '-I 4 2'
_cell_length_a 4.326
_cell_length_b 4.326
_cell_length_c 33.247
_cell_angle_alpha 90.00
_cell_angle_beta 90.00
_cell_angle_gamma 90.00
loop_
_atom_site_label
_atom_site_fract_x
_atom_site_fract_y
_atom_site_fract_z
Pr1 0.000 0.000 0.127
Er1 0.000 0.000 0.425
Er2 0.000 0.500 0.250
Mg1 0.000 0.000 0.325
Mg2 0.000 0.500 0.000
# Total moment ... 0.000 μB per atom
# Excess energy over the best structure of this formula in the dataset ... 305 meV/atom
# DFT total energy ... -3.17 eV/atom
# Formation enthalpy at 0 K ... 5.7 kcal/mol of atoms

***

# BaCa3Sc, optimized geometry, DFT PBE
data_BaCa3Sc
_space_group_name_H-M_alt 'P m -3 m'
_space_group_IT_number 221
_space_group_name_Hall '-P 4 2 3'
_cell_length_a 6.206
_cell_length_b 6.206
_cell_length_c 6.206
_cell_angle_alpha 90.00
_cell_angle_beta 90.00
_cell_angle_gamma 90.00
loop_
_atom_site_label
_atom_site_fract_x
_atom_site_fract_y
_atom_site_fract_z
Ba1 0.000 0.000 0.000
Ca1 0.000 0.500 0.500
Sc1 0.500 0.500 0.500
# Total moment ... 0.579 μB per atom
# Excess energy over the best structure of this formula in the dataset ... 0 meV/atom
# DFT total energy ... -2.40 eV/atom
# Formation enthalpy at 0 K ... 10.3 kcal/mol of atoms

***

Repeat the fourth record exactly.
# BaCa3Sc, optimized geometry, DFT PBE
data_BaCa3Sc
_space_group_name_H-M_alt 'P m -3 m'
_space_group_IT_number 221
_space_group_name_Hall '-P 4 2 3'
_cell_length_a 6.206
_cell_length_b 6.206
_cell_length_c 6.206
_cell_angle_alpha 90.00
_cell_angle_beta 90.00
_cell_angle_gamma 90.00
loop_
_atom_site_label
_atom_site_fract_x
_atom_site_fract_y
_atom_site_fract_z
Ba1 0.000 0.000 0.000
Ca1 0.000 0.500 0.500
Sc1 0.500 0.500 0.500
# Total moment ... 0.579 μB per atom
# Excess energy over the best structure of this formula in the dataset ... 0 meV/atom
# DFT total energy ... -2.40 eV/atom
# Formation enthalpy at 0 K ... 10.3 kcal/mol of atoms

***

Question: Which formula does entry 1 have?
Answer: Cs3SmSc2Se6

***

Please write out number 3 again, unchanged.
# PrEr2Mg2, optimized geometry, DFT PBE
data_PrEr2Mg2
_space_group_name_H-M_alt 'I 4/m m m'
_space_group_IT_number 139
_space_group_name_Hall '-I 4 2'
_cell_length_a 4.326
_cell_length_b 4.326
_cell_length_c 33.247
_cell_angle_alpha 90.00
_cell_angle_beta 90.00
_cell_angle_gamma 90.00
loop_
_atom_site_label
_atom_site_fract_x
_atom_site_fract_y
_atom_site_fract_z
Pr1 0.000 0.000 0.127
Er1 0.000 0.000 0.425
Er2 0.000 0.500 0.250
Mg1 0.000 0.000 0.325
Mg2 0.000 0.500 0.000
# Total moment ... 0.000 μB per atom
# Excess energy over the best structure of this formula in the dataset ... 305 meV/atom
# DFT total energy ... -3.17 eV/atom
# Formation enthalpy at 0 K ... 5.7 kcal/mol of atoms